The following is a PBE with a Hubbard U calculation of a relaxed KFe2O crystal, from Alexandria via LeMat-Bulk.

Cell: 6.5205 6.5205 6.5205 Å, 119.70 119.70 90.51°
With the nearest neighbours (Å) after each atom.
Fractional coordinates of all 8 atoms:
1 K 0.3750 0.6250 0.7500  12 Fe 3.81-3.84, 4 O 4.00, 4 K 4.00
2 K 0.6250 0.3750 0.2500  12 Fe 3.81-3.84, 4 K 4.00, 4 O 4.00
3 Fe 0.0000 0.0000 0.0000  2 O 2.00
4 Fe 0.0000 0.0000 0.5000  2 O 2.00
5 Fe 0.0000 0.5000 0.0000  2 O 2.00
6 Fe 0.5000 0.0000 0.5000  2 O 2.00
7 O 0.1250 0.8750 0.2500  4 Fe 2.00
8 O 0.8750 0.1250 0.7500  4 Fe 2.00

Values from the calculation:
SG: I4_1/amd
ρ in Mg/m³: 2.8
Final energy in eV/atom: -4.524
DOS(E_F) in states/eV/atom: 0.39